Compound: SrGaI2O
Source: Alexandria
Functional: PBE-GGA
Structure: relaxed

Computed properties:
ΔE to the lowest computed polymorph ... 0 meV per atom
DOS at the Fermi energy ... 1.46 states/eV per cell
Density ... 5.0 g/cm³
Crystal system ... tetragonal

CIF file:
```
data_SrGaI2O
_cell_length_a 6.0641
_cell_length_b 6.0641
_cell_length_c 3.8541
_cell_angle_alpha 90.00
_cell_angle_beta 90.00
_cell_angle_gamma 90.00
_space_group_name_H-M_alt 'P 1'
_space_group_IT_number 1
loop_
_space_group_symop_operation_xyz
'x,y,z'
loop_
_atom_site_label
_atom_site_fract_x
_atom_site_fract_y
_atom_site_fract_z
_atom_site_occupancy
Sr1 0.0000 0.0000 0.0000 1
Ga1 0.5000 0.5000 0.5000 1
I1 0.0000 0.5000 0.5000 1
I2 0.5000 0.0000 0.5000 1
O1 0.5000 0.5000 0.0000 1
```

---

Compound: SrGaI2O
Source: Alexandria
Functional: PBE-GGA
Structure: relaxed

Computed properties:
ΔE to the lowest computed polymorph ... 224 meV per atom
DOS at the Fermi energy ... 5.00 states/eV per cell
Density ... 3.7 g/cm³
Crystal system ... tetragonal

CIF file:
```
data_SrGaI2O
_cell_length_a 6.5014
_cell_length_b 6.5014
_cell_length_c 4.5759
_cell_angle_alpha 90.00
_cell_angle_beta 90.00
_cell_angle_gamma 90.00
_space_group_name_H-M_alt 'P 1'
_space_group_IT_number 1
loop_
_space_group_symop_operation_xyz
'x,y,z'
loop_
_atom_site_label
_atom_site_fract_x
_atom_site_fract_y
_atom_site_fract_z
_atom_site_occupancy
Sr1 0.0000 0.0000 0.0000 1
Ga1 0.5000 0.5000 0.5000 1
I1 0.0000 0.5000 0.0000 1
I2 0.5000 0.0000 0.0000 1
O1 0.0000 0.0000 0.5000 1
```

---

Compound: SrGaIO2
Source: Alexandria
Functional: PBE-GGA
Structure: relaxed

Computed properties:
ΔE to the lowest computed polymorph ... 427 meV per atom
DOS at the Fermi energy ... 3.79 states/eV per cell
Density ... 3.4 g/cm³
Crystal system ... tetragonal

CIF file:
```
data_SrGaIO2
_cell_length_a 4.7167
_cell_length_b 4.7167
_cell_length_c 6.9428
_cell_angle_alpha 90.00
_cell_angle_beta 90.00
_cell_angle_gamma 90.00
_space_group_name_H-M_alt 'P 1'
_space_group_IT_number 1
loop_
_space_group_symop_operation_xyz
'x,y,z'
loop_
_atom_site_label
_atom_site_fract_x
_atom_site_fract_y
_atom_site_fract_z
_atom_site_occupancy
Sr1 0.0000 0.0000 0.0000 1
Ga1 0.5000 0.5000 0.5000 1
I1 0.0000 0.0000 0.5000 1
O1 0.0000 0.5000 0.0000 1
O2 0.5000 0.0000 0.0000 1
```

---

Compound: Sr2GaIO6
Source: Alexandria
Functional: PBE-GGA
Structure: relaxed

Computed properties:
DFT total energy ... -5.507 eV/atom
Density ... 5.8 g/cm³
Crystal system ... triclinic

CIF file:
```
data_Sr2GaIO6
_cell_length_a 5.7252
_cell_length_b 5.7254
_cell_length_c 5.7267
_cell_angle_alpha 60.68
_cell_angle_beta 60.68
_cell_angle_gamma 60.68
_space_group_name_H-M_alt 'P 1'
_space_group_IT_number 1
loop_
_space_group_symop_operation_xyz
'x,y,z'
loop_
_atom_site_label
_atom_site_fract_x
_atom_site_fract_y
_atom_site_fract_z
_atom_site_occupancy
Sr1 0.2488 0.2492 0.2483 1
Sr2 0.7512 0.7508 0.7517 1
Ga1 0.0000 0.0000 0.0000 1
I1 0.5000 0.5000 0.5000 1
O1 0.1856 0.7544 0.3055 1
O2 0.2446 0.6957 0.8134 1
O3 0.3052 0.1859 0.7572 1
O4 0.6948 0.8141 0.2428 1
O5 0.7554 0.3043 0.1866 1
O6 0.8144 0.2456 0.6945 1
```

---

Compound: SrGaIO6
Source: Alexandria
Functional: PBE-GGA
Structure: relaxed

Computed properties:
DFT total energy ... -5.463 eV/atom
DOS at the Fermi energy ... 0.00 states/eV per cell
Density ... 4.9 g/cm³
Crystal system ... trigonal

CIF file:
```
data_SrGaIO6
_cell_length_a 5.2023
_cell_length_b 5.2023
_cell_length_c 10.8897
_cell_angle_alpha 90.00
_cell_angle_beta 90.00
_cell_angle_gamma 120.00
_space_group_name_H-M_alt 'P 1'
_space_group_IT_number 1
loop_
_space_group_symop_operation_xyz
'x,y,z'
loop_
_atom_site_label
_atom_site_fract_x
_atom_site_fract_y
_atom_site_fract_z
_atom_site_occupancy
Sr1 0.0000 0.0000 0.0000 1
Sr2 0.0000 0.0000 0.5000 1
Ga1 0.3333 0.6667 0.2500 1
Ga2 0.6667 0.3333 0.7500 1
I1 0.3333 0.6667 0.7500 1
I2 0.6667 0.3333 0.2500 1
O1 0.0148 0.3861 0.6496 1
O2 0.0148 0.6287 0.8504 1
O3 0.3713 0.3861 0.8504 1
O4 0.3713 0.9852 0.6496 1
O5 0.3861 0.0148 0.1496 1
O6 0.3861 0.3713 0.3504 1
O7 0.6139 0.6287 0.6496 1
O8 0.6139 0.9852 0.8504 1
O9 0.6287 0.0148 0.3504 1
O10 0.6287 0.6139 0.1496 1
O11 0.9852 0.3713 0.1496 1
O12 0.9852 0.6139 0.3504 1
```

---

Compound: SrGaIO2
Source: Alexandria
Functional: PBE-GGA
Structure: relaxed

Computed properties:
ΔE to the lowest computed polymorph ... 0 meV per atom
DOS at the Fermi energy ... 1.43 states/eV per cell
Density ... 5.4 g/cm³
Crystal system ... tetragonal

CIF file:
```
data_SrGaIO2
_cell_length_a 4.2692
_cell_length_b 4.2692
_cell_length_c 5.3310
_cell_angle_alpha 90.00
_cell_angle_beta 90.00
_cell_angle_gamma 90.00
_space_group_name_H-M_alt 'P 1'
_space_group_IT_number 1
loop_
_space_group_symop_operation_xyz
'x,y,z'
loop_
_atom_site_label
_atom_site_fract_x
_atom_site_fract_y
_atom_site_fract_z
_atom_site_occupancy
Sr1 0.0000 0.0000 0.0000 1
Ga1 0.5000 0.5000 0.5000 1
I1 0.5000 0.5000 0.0000 1
O1 0.0000 0.5000 0.5000 1
O2 0.5000 0.0000 0.5000 1
```

---

Compound: TaGaIO2
Source: Alexandria
Functional: PBE-GGA
Structure: relaxed

Computed properties:
ΔE to the lowest computed polymorph ... 1455 meV per atom
DOS at the Fermi energy ... 4.67 states/eV per cell
Density ... 7.9 g/cm³
Crystal system ... tetragonal

CIF file:
```
data_TaGaIO2
_cell_length_a 3.9356
_cell_length_b 3.9356
_cell_length_c 5.5422
_cell_angle_alpha 90.00
_cell_angle_beta 90.00
_cell_angle_gamma 90.00
_space_group_name_H-M_alt 'P 1'
_space_group_IT_number 1
loop_
_space_group_symop_operation_xyz
'x,y,z'
loop_
_atom_site_label
_atom_site_fract_x
_atom_site_fract_y
_atom_site_fract_z
_atom_site_occupancy
Ta1 0.0000 0.0000 0.0000 1
Ga1 0.5000 0.5000 0.5000 1
I1 0.5000 0.5000 0.0000 1
O1 0.0000 0.5000 0.5000 1
O2 0.5000 0.0000 0.5000 1
```

---

Compound: TaGaIO2
Source: Alexandria
Functional: PBE-GGA
Structure: relaxed

Computed properties:
ΔE to the lowest computed polymorph ... 0 meV per atom
DOS at the Fermi energy ... 2.13 states/eV per cell
Density ... 6.9 g/cm³
Crystal system ... tetragonal

CIF file:
```
data_TaGaIO2
_cell_length_a 4.0666
_cell_length_b 4.0666
_cell_length_c 5.9891
_cell_angle_alpha 90.00
_cell_angle_beta 90.00
_cell_angle_gamma 90.00
_space_group_name_H-M_alt 'P 1'
_space_group_IT_number 1
loop_
_space_group_symop_operation_xyz
'x,y,z'
loop_
_atom_site_label
_atom_site_fract_x
_atom_site_fract_y
_atom_site_fract_z
_atom_site_occupancy
Ta1 0.0000 0.0000 0.0000 1
Ga1 0.5000 0.5000 0.5000 1
I1 0.0000 0.0000 0.5000 1
O1 0.0000 0.5000 0.0000 1
O2 0.5000 0.0000 0.0000 1
```

---

Compound: GaTeIO2
Source: Alexandria
Functional: PBE-GGA
Structure: relaxed

Computed properties:
ΔE to the lowest computed polymorph ... 0 meV per atom
DOS at the Fermi energy ... 1.16 states/eV per cell
Density ... 5.1 g/cm³
Crystal system ... tetragonal

CIF file:
```
data_GaTeIO2
_cell_length_a 4.2141
_cell_length_b 4.2141
_cell_length_c 6.5786
_cell_angle_alpha 90.00
_cell_angle_beta 90.00
_cell_angle_gamma 90.00
_space_group_name_H-M_alt 'P 1'
_space_group_IT_number 1
loop_
_space_group_symop_operation_xyz
'x,y,z'
loop_
_atom_site_label
_atom_site_fract_x
_atom_site_fract_y
_atom_site_fract_z
_atom_site_occupancy
Ga1 0.0000 0.0000 0.0000 1
Te1 0.5000 0.5000 0.5000 1
I1 0.5000 0.5000 0.0000 1
O1 0.0000 0.5000 0.5000 1
O2 0.5000 0.0000 0.5000 1
```

---

Compound: GaTeIO2
Source: Alexandria
Functional: PBE-GGA
Structure: relaxed

Computed properties:
ΔE to the lowest computed polymorph ... 278 meV per atom
DOS at the Fermi energy ... 2.70 states/eV per cell
Density ... 5.2 g/cm³
Crystal system ... tetragonal

CIF file:
```
data_GaTeIO2
_cell_length_a 4.0383
_cell_length_b 4.0383
_cell_length_c 7.0285
_cell_angle_alpha 90.00
_cell_angle_beta 90.00
_cell_angle_gamma 90.00
_space_group_name_H-M_alt 'P 1'
_space_group_IT_number 1
loop_
_space_group_symop_operation_xyz
'x,y,z'
loop_
_atom_site_label
_atom_site_fract_x
_atom_site_fract_y
_atom_site_fract_z
_atom_site_occupancy
Ga1 0.0000 0.0000 0.0000 1
Te1 0.5000 0.5000 0.5000 1
I1 0.0000 0.0000 0.5000 1
O1 0.0000 0.5000 0.0000 1
O2 0.5000 0.0000 0.0000 1
```

---

Compound: TlGaI2O
Source: Alexandria
Functional: PBE-GGA
Structure: relaxed

Computed properties:
ΔE to the lowest computed polymorph ... 480 meV per atom
DOS at the Fermi energy ... 5.66 states/eV per cell
Density ... 5.6 g/cm³
Crystal system ... tetragonal

CIF file:
```
data_TlGaI2O
_cell_length_a 6.2339
_cell_length_b 6.2339
_cell_length_c 4.1391
_cell_angle_alpha 90.00
_cell_angle_beta 90.00
_cell_angle_gamma 90.00
_space_group_name_H-M_alt 'P 1'
_space_group_IT_number 1
loop_
_space_group_symop_operation_xyz
'x,y,z'
loop_
_atom_site_label
_atom_site_fract_x
_atom_site_fract_y
_atom_site_fract_z
_atom_site_occupancy
Tl1 0.0000 0.0000 0.0000 1
Ga1 0.5000 0.5000 0.5000 1
I1 0.0000 0.5000 0.0000 1
I2 0.5000 0.0000 0.0000 1
O1 0.0000 0.0000 0.5000 1
```

---

Compound: TlGa2IO8
Source: Alexandria
Functional: PBE-GGA
Structure: relaxed

Computed properties:
DFT total energy ... -5.019 eV/atom
DOS at the Fermi energy ... 1.54 states/eV per cell
Density ... 7.0 g/cm³
Crystal system ... monoclinic

CIF file:
```
data_TlGa2IO8
_cell_length_a 4.6721
_cell_length_b 6.4980
_cell_length_c 4.6820
_cell_angle_alpha 90.00
_cell_angle_beta 90.90
_cell_angle_gamma 90.00
_space_group_name_H-M_alt 'P 1'
_space_group_IT_number 1
loop_
_space_group_symop_operation_xyz
'x,y,z'
loop_
_atom_site_label
_atom_site_fract_x
_atom_site_fract_y
_atom_site_fract_z
_atom_site_occupancy
Tl1 0.0000 0.0000 0.0000 1
Ga1 0.5000 0.2454 0.5000 1
Ga2 0.5000 0.7546 0.5000 1
I1 0.0000 0.5000 0.0000 1
O1 0.1999 0.2879 0.8044 1
O2 0.1999 0.7121 0.8044 1
O3 0.2941 0.5000 0.2988 1
O4 0.3202 0.0000 0.3230 1
O5 0.6798 0.0000 0.6770 1
O6 0.7059 0.5000 0.7012 1
O7 0.8001 0.2879 0.1956 1
O8 0.8001 0.7121 0.1956 1
```

---

Compound: TlGaI2O
Source: Alexandria
Functional: PBE-GGA
Structure: relaxed

Computed properties:
ΔE to the lowest computed polymorph ... 0 meV per atom
DOS at the Fermi energy ... 1.58 states/eV per cell
Density ... 6.6 g/cm³
Crystal system ... tetragonal

CIF file:
```
data_TlGaI2O
_cell_length_a 6.1008
_cell_length_b 6.1008
_cell_length_c 3.6919
_cell_angle_alpha 90.00
_cell_angle_beta 90.00
_cell_angle_gamma 90.00
_space_group_name_H-M_alt 'P 1'
_space_group_IT_number 1
loop_
_space_group_symop_operation_xyz
'x,y,z'
loop_
_atom_site_label
_atom_site_fract_x
_atom_site_fract_y
_atom_site_fract_z
_atom_site_occupancy
Tl1 0.0000 0.0000 0.0000 1
Ga1 0.5000 0.5000 0.5000 1
I1 0.0000 0.5000 0.5000 1
I2 0.5000 0.0000 0.5000 1
O1 0.5000 0.5000 0.0000 1
```